No. 1
Li3SmU2Te6 | PBE | relaxed

Raw formation energy, eV/f.u.: -11.14
D(E_F), states/eV/atom: 1.052

Structure (CIF):
```
data_Li3SmU2Te6
_cell_length_a 7.5271
_cell_length_b 13.0379
_cell_length_c 7.5596
_cell_angle_alpha 90.00
_cell_angle_beta 109.38
_cell_angle_gamma 90.00
_space_group_name_H-M_alt 'C 1 2/m 1'
_space_group_IT_number 12
_space_group_name_Hall '-C 2y'
loop_
_atom_site_label
_atom_site_type_symbol
_atom_site_fract_x
_atom_site_fract_y
_atom_site_fract_z
Li1 Li 0.0000 0.0000 0.0000
Li2 Li 0.0000 0.3356 0.0000
Sm1 Sm 0.0000 0.5000 0.5000
U1 U 0.0000 0.1669 0.5000
Te1 Te 0.2448 0.1682 0.2392
Te2 Te 0.2504 0.0000 0.7610
```



No. 2
Li4Sm3UTe8 | PBE | relaxed

Raw formation energy, eV/f.u.: -18.47
D(E_F), states/eV/atom: 0.367

Structure (CIF):
```
data_Li4Sm3UTe8
_cell_length_a 8.7934
_cell_length_b 8.7934
_cell_length_c 21.2558
_cell_angle_alpha 90.00
_cell_angle_beta 90.00
_cell_angle_gamma 120.00
_space_group_name_H-M_alt 'R -3 m'
_space_group_IT_number 166
_space_group_name_Hall '-R 3 2"'
loop_
_atom_site_label
_atom_site_type_symbol
_atom_site_fract_x
_atom_site_fract_y
_atom_site_fract_z
Li1 Li 0.0000 0.0000 0.0000
Li2 Li 0.0000 0.5000 0.0000
Sm1 Sm 0.0000 0.5000 0.5000
U1 U 0.0000 0.0000 0.5000
Te1 Te 0.0000 0.0000 0.2537
Te2 Te 0.0020 0.5010 0.2534
```



No. 3
LiSm2UTe5 | PBE | relaxed

Raw formation energy, eV/f.u.: -9.46
D(E_F), states/eV/atom: 0.703

Structure (CIF):
```
data_LiSm2UTe5
_cell_length_a 4.3723
_cell_length_b 18.6382
_cell_length_c 13.2669
_cell_angle_alpha 90.00
_cell_angle_beta 90.00
_cell_angle_gamma 90.00
_space_group_name_H-M_alt 'C m c 21'
_space_group_IT_number 36
_space_group_name_Hall 'C 2c -2'
loop_
_atom_site_label
_atom_site_type_symbol
_atom_site_fract_x
_atom_site_fract_y
_atom_site_fract_z
Li1 Li 0.0000 0.0566 0.0000
Sm1 Sm 0.0000 0.3724 0.8393
Sm2 Sm 0.0000 0.3931 0.2242
U1 U 0.0000 0.2995 0.5473
Te1 Te 0.0000 0.0027 0.3197
Te2 Te 0.0000 0.1332 0.5386
Te3 Te 0.0000 0.1869 0.8823
Te4 Te 0.0000 0.2160 0.2092
Te5 Te 0.0000 0.4519 0.6118
```



No. 4
Li4Sm3YTe8 | PBE | relaxed

Raw formation energy, eV/f.u.: -20.79

Structure (CIF):
```
data_Li4Sm3YTe8
_cell_length_a 8.7979
_cell_length_b 8.7979
_cell_length_c 21.2431
_cell_angle_alpha 90.00
_cell_angle_beta 90.00
_cell_angle_gamma 120.00
_space_group_name_H-M_alt 'R -3 m'
_space_group_IT_number 166
_space_group_name_Hall '-R 3 2"'
loop_
_atom_site_label
_atom_site_type_symbol
_atom_site_fract_x
_atom_site_fract_y
_atom_site_fract_z
Li1 Li 0.0000 0.0000 0.0000
Li2 Li 0.0000 0.5000 0.0000
Sm1 Sm 0.0000 0.5000 0.5000
Y1 Y 0.0000 0.0000 0.5000
Te1 Te 0.0000 0.0000 0.2534
Te2 Te 0.0042 0.5021 0.2527
```



No. 5
LiSm2YTe5 | PBE | relaxed

Raw formation energy, eV/f.u.: -11.69

Structure (CIF):
```
data_LiSm2YTe5
_cell_length_a 4.3766
_cell_length_b 18.6452
_cell_length_c 13.2169
_cell_angle_alpha 90.00
_cell_angle_beta 90.00
_cell_angle_gamma 90.00
_space_group_name_H-M_alt 'C m c 21'
_space_group_IT_number 36
_space_group_name_Hall 'C 2c -2'
loop_
_atom_site_label
_atom_site_type_symbol
_atom_site_fract_x
_atom_site_fract_y
_atom_site_fract_z
Li1 Li 0.0000 0.0575 0.0000
Sm1 Sm 0.0000 0.3734 0.8373
Sm2 Sm 0.0000 0.3942 0.2217
Y1 Y 0.0000 0.3025 0.5455
Te1 Te 0.0000 0.0019 0.3192
Te2 Te 0.0000 0.1377 0.5347
Te3 Te 0.0000 0.1885 0.8806
Te4 Te 0.0000 0.2176 0.2057
Te5 Te 0.0000 0.4533 0.6098
```



No. 6
LiSm3Y2Te6 | PBE | relaxed

Raw formation energy, eV/f.u.: -16.25
D(E_F), states/eV/atom: 0.366

Structure (CIF):
```
data_LiSm3Y2Te6
_cell_length_a 19.1437
_cell_length_b 4.3866
_cell_length_c 8.7850
_cell_angle_alpha 90.00
_cell_angle_beta 103.46
_cell_angle_gamma 90.00
_space_group_name_H-M_alt 'C 1 2/m 1'
_space_group_IT_number 12
_space_group_name_Hall '-C 2y'
loop_
_atom_site_label
_atom_site_type_symbol
_atom_site_fract_x
_atom_site_fract_y
_atom_site_fract_z
Li1 Li 0.0000 0.0000 0.0000
Sm1 Sm 0.0000 0.0000 0.5000
Sm2 Sm 0.1679 0.5000 0.8303
Y1 Y 0.1675 0.5000 0.3370
Te1 Te 0.0014 0.5000 0.2380
Te2 Te 0.1609 0.0000 0.0839
Te3 Te 0.1673 0.0000 0.5797
```



No. 7
LiSm2YTe4 | PBE | relaxed

Raw formation energy, eV/f.u.: -10.81
D(E_F), states/eV/atom: 0.417

Structure (CIF):
```
data_LiSm2YTe4
_cell_length_a 7.5900
_cell_length_b 4.3682
_cell_length_c 7.6124
_cell_angle_alpha 90.00
_cell_angle_beta 109.19
_cell_angle_gamma 90.00
_space_group_name_H-M_alt 'P 1 2/m 1'
_space_group_IT_number 10
_space_group_name_Hall '-P 2y'
loop_
_atom_site_label
_atom_site_type_symbol
_atom_site_fract_x
_atom_site_fract_y
_atom_site_fract_z
Li1 Li 0.0000 0.0000 0.0000
Sm1 Sm 0.0000 0.5000 0.5000
Sm2 Sm 0.5000 0.0000 0.5000
Y1 Y 0.5000 0.5000 0.0000
Te1 Te 0.2404 0.5000 0.2362
Te2 Te 0.2471 0.0000 0.7614
```



No. 8
Li3Sm2YTe6 | PBE | relaxed

Raw formation energy, eV/f.u.: -15.61

Structure (CIF):
```
data_Li3Sm2YTe6
_cell_length_a 7.6086
_cell_length_b 13.1791
_cell_length_c 7.5167
_cell_angle_alpha 90.00
_cell_angle_beta 109.73
_cell_angle_gamma 90.00
_space_group_name_H-M_alt 'C 1 2/m 1'
_space_group_IT_number 12
_space_group_name_Hall '-C 2y'
loop_
_atom_site_label
_atom_site_type_symbol
_atom_site_fract_x
_atom_site_fract_y
_atom_site_fract_z
Li1 Li 0.0000 0.0000 0.0000
Li2 Li 0.0000 0.3329 0.0000
Sm1 Sm 0.0000 0.1666 0.5000
Y1 Y 0.0000 0.5000 0.5000
Te1 Te 0.2428 0.5000 0.2420
Te2 Te 0.2493 0.1644 0.2413
```



No. 9
LiSm4Y3Te8 | PBE | relaxed

Raw formation energy, eV/f.u.: -21.64
D(E_F), states/eV/atom: 0.488

Structure (CIF):
```
data_LiSm4Y3Te8
_cell_length_a 8.7686
_cell_length_b 8.7686
_cell_length_c 21.6058
_cell_angle_alpha 90.00
_cell_angle_beta 90.00
_cell_angle_gamma 120.00
_space_group_name_H-M_alt 'R -3 m'
_space_group_IT_number 166
_space_group_name_Hall '-R 3 2"'
loop_
_atom_site_label
_atom_site_type_symbol
_atom_site_fract_x
_atom_site_fract_y
_atom_site_fract_z
Li1 Li 0.0000 0.0000 0.0000
Sm1 Sm 0.0000 0.0000 0.5000
Sm2 Sm 0.0000 0.5000 0.5000
Y1 Y 0.0000 0.5000 0.0000
Te1 Te 0.0000 0.0000 0.2522
Te2 Te 0.0073 0.5036 0.7460
```



No. 10
LiSmTh | PBE | relaxed

Formation energy from the elements, eV per formula unit: 1.6
D(E_F), states/eV/atom: 1.048
Energy relative to the lowest polymorph listed for this composition, meV/atom: 474

Structure (CIF):
```
data_LiSmTh
_cell_length_a 6.4673
_cell_length_b 7.4391
_cell_length_c 16.0230
_cell_angle_alpha 90.00
_cell_angle_beta 90.00
_cell_angle_gamma 90.00
_space_group_name_H-M_alt 'F m m m'
_space_group_IT_number 69
_space_group_name_Hall '-F 2 2'
loop_
_atom_site_label
_atom_site_type_symbol
_atom_site_fract_x
_atom_site_fract_y
_atom_site_fract_z
Li1 Li 0.0000 0.1608 0.0000
Sm1 Sm 0.0000 0.0000 0.3962
Th1 Th 0.2500 0.2500 0.2500
```



No. 11
LiSmTh | PBE | relaxed

Formation energy from the elements, eV per formula unit: 0.4
D(E_F), states/eV/atom: 1.143
Energy relative to the lowest polymorph listed for this composition, meV/atom: 84

Structure (CIF):
```
data_LiSmTh
_cell_length_a 3.6630
_cell_length_b 3.6630
_cell_length_c 12.8488
_cell_angle_alpha 90.00
_cell_angle_beta 90.00
_cell_angle_gamma 90.00
_space_group_name_H-M_alt 'I 4 m m'
_space_group_IT_number 107
_space_group_name_Hall 'I 4 -2'
loop_
_atom_site_label
_atom_site_type_symbol
_atom_site_fract_x
_atom_site_fract_y
_atom_site_fract_z
Li1 Li 0.0000 0.0000 0.0000
Sm1 Sm 0.0000 0.0000 0.6561
Th1 Th 0.0000 0.0000 0.3415
```



Number 1: VASP energy -5.253 eV per atom, density 6.7 g/cm3. Number 2: VASP energy -4.794 eV per atom, density 6.1 g/cm3. Number 3: VASP energy -5.312 eV per atom, density 7.3 g/cm3. Number 4: VASP energy -4.638 eV per atom, density 5.6 g/cm3. Number 5: VASP energy -5.024 eV per atom, density 6.4 g/cm3. Number 6: VASP energy -5.342 eV per atom, density 6.5 g/cm3. Number 7: VASP energy -5.149 eV per atom, density 6.3 g/cm3. Number 8: VASP energy -4.675 eV per atom, density 5.5 g/cm3. Number 9: VASP energy -5.434 eV per atom, density 6.6 g/cm3. Number 10: VASP energy -4.163 eV per atom, density 6.7 g/cm3. Number 11: VASP energy -4.554 eV per atom, density 7.5 g/cm3.